Run w
This record from Alexandria describes a relaxed NdBBr crystal. The functional is PBE-GGA.

Cell: 4.3070 4.5128 16.5831 Å, 90.00 90.00 90.00°
Last column: nearest neighbours and their distance in Å.
Space group Immm (No. 71)
Unique sites:
Nd  0.0000  0.0000  0.1199 [4 per cell]  2 B 2.43
B  0.1758  0.5000  0.5000 [4 per cell]  1 B 1.51
Br  0.0000  0.0000  0.3202 [4 per cell]  5 Nd 3.27-3.32

The calculation puts the magnetic moment at 0.00 Bohr magnetons per cell.

---

Run x
This record from Alexandria describes a relaxed NdBBr crystal. The functional is PBE-GGA.

Cell: 7.4088 3.3747 11.8692 Å, 90.00 100.25 90.00°
Last column: nearest neighbours and their distance in Å.
Space group C2/m (No. 12)
Unique sites:
Nd  0.0507  0.0000  0.1570 [4 per cell]  6 B 2.73-3.03, 3 Br 2.98-3.02
B  0.2236  0.5000  0.0014 [4 per cell]  2 B 1.73
Br  0.2059  0.0000  0.6722 [4 per cell]  3 Nd 2.98-3.02

The calculation puts the magnetic moment at 0.00 Bohr magnetons per cell.

---

The least stable of them is run w.

---

Run w
This record from Alexandria describes a relaxed NiB3Br crystal. The functional is PBE-GGA.

Cell: 4.0526 4.0526 4.0526 Å, 90.00 90.00 90.00°
Last column: nearest neighbours and their distance in Å.
Space group Pm-3m (No. 221)
Unique sites:
Ni  0.0000  0.0000  0.0000 [1 per cell]  12 B 2.87
B  0.0000  0.5000  0.5000 [3 per cell]  2 Br 2.03
Br  0.5000  0.5000  0.5000 [1 per cell]  6 B 2.03

The calculation puts the magnetic moment at 0.00 Bohr magnetons per cell.

---

Run x
This record from Alexandria describes a relaxed NiB3Br crystal. The functional is PBE-GGA.

Cell: 3.9903 3.9903 3.9903 Å, 90.00 90.00 90.00°
Last column: nearest neighbours and their distance in Å.
Space group Pm-3m (No. 221)
Unique sites:
Ni  0.0000  0.0000  0.0000 [1 per cell]  6 B 2.00
B  0.0000  0.0000  0.5000 [3 per cell]  2 Ni 2.00
Br  0.5000  0.5000  0.5000 [1 per cell]  12 B 2.82

The calculation puts the magnetic moment at 0.00 Bohr magnetons per cell.

---

The least stable of them is run w.

---

Run w
This record from Alexandria describes a relaxed NiB2Br crystal. The functional is PBE-GGA.

Cell: 5.7281 5.7281 5.7281 Å, 90.00 90.00 90.00°
Last column: nearest neighbours and their distance in Å.
Space group Fm-3m (No. 225)
Unique sites:
Ni  0.0000  0.0000  0.0000 [4 per cell]  8 B 2.48
B  0.2500  0.2500  0.2500 [8 per cell]  4 Br 2.48, 4 Ni 2.48
Br  0.0000  0.0000  0.5000 [4 per cell]  8 B 2.48

The calculation puts the magnetic moment at 0.00 Bohr magnetons per cell.

---

Run x
This record from Alexandria describes a relaxed NiB2Br crystal. The functional is PBE-GGA.

Cell: 4.9408 4.9408 9.9417 Å, 90.00 90.00 90.00°
Last column: nearest neighbours and their distance in Å.
Space group I-42d (No. 122)
Unique sites:
Ni  0.0000  0.0000  0.0000 [4 per cell]  4 B 1.91
B  0.1550  0.2500  0.1250 [8 per cell]  2 Ni 1.91
Br  0.0000  0.0000  0.5000 [4 per cell]  4 B 2.44

The calculation puts the magnetic moment at 0.00 Bohr magnetons per cell.

---

The least stable of them is run w.

---

Run w
This record from Alexandria describes a relaxed Ni3BBr crystal. The functional is PBE-GGA.

Cell: 4.3434 4.3434 4.3434 Å, 90.00 90.00 90.00°
Last column: nearest neighbours and their distance in Å.
Space group Pm-3m (No. 221)
Unique sites:
Ni  0.0000  0.0000  0.5000 [3 per cell]  2 Br 2.17
B  0.5000  0.5000  0.5000 [1 per cell]  12 Ni 3.07
Br  0.0000  0.0000  0.0000 [1 per cell]  6 Ni 2.17

The calculation puts the magnetic moment at 0.00 Bohr magnetons per cell.

---

Run x
This record from Alexandria describes a relaxed Ni3BBr crystal. The functional is PBE-GGA.

Cell: 3.9600 3.9600 3.9600 Å, 90.00 90.00 90.00°
Last column: nearest neighbours and their distance in Å.
Space group Pm-3m (No. 221)
Unique sites:
Ni  0.0000  0.0000  0.5000 [3 per cell]  2 B 1.98
B  0.0000  0.0000  0.0000 [1 per cell]  6 Ni 1.98
Br  0.5000  0.5000  0.5000 [1 per cell]  12 Ni 2.80

The calculation puts the magnetic moment at 0.00 Bohr magnetons per cell.

---

The least stable of them is run w.

---

Run w
This record from Alexandria describes a relaxed NiBSe2Br crystal. The functional is PBE-GGA.

Cell: 4.4434 4.4434 4.6759 Å, 90.00 90.00 90.00°
Last column: nearest neighbours and their distance in Å.
Space group P4/mmm (No. 123)
Unique sites:
Ni  0.0000  0.0000  0.0000 [1 per cell]  4 Br 3.14, 8 Se 3.23
B  0.5000  0.5000  0.5000 [1 per cell]  4 Se 2.22, 2 Br 2.34
Se  0.0000  0.5000  0.5000 [2 per cell]  2 B 2.22
Br  0.5000  0.5000  0.0000 [1 per cell]  2 B 2.34

The calculation puts the magnetic moment at 1.71 Bohr magnetons per cell.

---

Run x
This record from Alexandria describes a relaxed NiBSe2Br crystal. The functional is PBE-GGA.

Cell: 4.6446 4.6446 5.0708 Å, 90.00 90.00 90.00°
Last column: nearest neighbours and their distance in Å.
Space group P4/mmm (No. 123)
Unique sites:
Ni  0.0000  0.0000  0.0000 [1 per cell]  4 Se 2.32, 2 Br 2.54
B  0.5000  0.5000  0.5000 [1 per cell]  4 Br 3.28, 8 Se 3.44
Se  0.0000  0.5000  0.0000 [2 per cell]  2 Ni 2.32
Br  0.0000  0.0000  0.5000 [1 per cell]  2 Ni 2.54

The calculation puts the magnetic moment at 0.00 Bohr magnetons per cell.

---

The least stable of them is run x.

---

Run w
This record from Alexandria describes a relaxed NiBSeBr2 crystal. The functional is PBE-GGA.

Cell: 4.5877 4.5877 4.6549 Å, 90.00 90.00 90.00°
Last column: nearest neighbours and their distance in Å.
Space group P4/mmm (No. 123)
Unique sites:
Ni  0.0000  0.0000  0.0000 [1 per cell]  4 Se 3.24, 8 Br 3.27
B  0.5000  0.5000  0.5000 [1 per cell]  4 Br 2.29, 2 Se 2.33
Se  0.5000  0.5000  0.0000 [1 per cell]  2 B 2.33
Br  0.0000  0.5000  0.5000 [2 per cell]  2 B 2.29

The calculation puts the magnetic moment at 1.56 Bohr magnetons per cell.

---

Run x
This record from Alexandria describes a relaxed NiBSeBr2 crystal. The functional is PBE-GGA.

Cell: 4.9866 4.9866 4.6120 Å, 90.00 90.00 90.00°
Last column: nearest neighbours and their distance in Å.
Space group P4/mmm (No. 123)
Unique sites:
Ni  0.0000  0.0000  0.0000 [1 per cell]  2 Se 2.31, 4 Br 2.49
B  0.5000  0.5000  0.5000 [1 per cell]  8 Br 3.40, 4 Se 3.53
Se  0.0000  0.0000  0.5000 [1 per cell]  2 Ni 2.31
Br  0.0000  0.5000  0.0000 [2 per cell]  2 Ni 2.49

The calculation puts the magnetic moment at 0.63 Bohr magnetons per cell.

---

The least stable of them is run w.

---

Run w
This record from Alexandria describes a relaxed BBr2O crystal. The functional is PBE-GGA.

Cell: 6.0559 6.0559 7.5589 Å, 90.00 90.00 90.00°
Last column: nearest neighbours and their distance in Å.
Space group I-42d (No. 122)
Unique sites:
B  0.0000  0.0000  0.0000 [4 per cell]  4 Br 2.10
Br  0.1841  0.2500  0.1250 [8 per cell]  2 B 2.10
O  0.0000  0.0000  0.5000 [4 per cell]  4 Br 2.62

The calculation puts the magnetic moment at 4.00 Bohr magnetons per cell.

---

Run x
This record from Alexandria describes a relaxed BBr2O crystal. The functional is PBE-GGA.

Cell: 4.0958 4.0958 20.6332 Å, 90.00 90.00 120.00°
Last column: nearest neighbours and their distance in Å.
Space group R-3m (No. 166, hexagonal axes)
Unique sites:
B  0.0000  0.0000  0.0000 [3 per cell]  2 Br 1.78
Br  0.0000  0.0000  0.0865 [6 per cell]  1 B 1.78
O  0.0000  0.0000  0.5000 [3 per cell]  6 Br 2.89

The calculation puts the magnetic moment at 3.00 Bohr magnetons per cell.

---

Run y
This record from Alexandria describes a relaxed BBr2O crystal. The functional is PBE-GGA.

Cell: 3.4653 3.4653 20.7316 Å, 90.00 90.00 120.00°
Last column: nearest neighbours and their distance in Å.
Space group R-3m (No. 166, hexagonal axes)
Unique sites:
B  0.0000  0.0000  0.0000 [3 per cell]  6 Br 2.47
Br  0.0000  0.0000  0.4030 [6 per cell]  1 O 2.01
O  0.0000  0.0000  0.5000 [3 per cell]  2 Br 2.01

The calculation puts the magnetic moment at 0.00 Bohr magnetons per cell.

---

Run z
This record from Alexandria describes a relaxed BBr2O crystal. The functional is PBE-GGA.

Cell: 6.1938 6.1938 6.1938 Å, 90.00 90.00 90.00°
Last column: nearest neighbours and their distance in Å.
Space group Fm-3m (No. 225)
Unique sites:
B  0.0000  0.0000  0.0000 [4 per cell]  8 Br 2.68
Br  0.2500  0.2500  0.2500 [8 per cell]  4 O 2.68, 4 B 2.68
O  0.0000  0.0000  0.5000 [4 per cell]  8 Br 2.68

The calculation puts the magnetic moment at 0.00 Bohr magnetons per cell.

---

The least stable of them is run z.

---

Run w
This record from Alexandria describes a relaxed B2BrO crystal. The functional is PBE-GGA.

Cell: 4.0054 4.0054 11.5063 Å, 90.00 90.00 90.00°
Last column: nearest neighbours and their distance in Å.
Space group I4_1/amd (No. 141, origin choice 2)
Unique sites:
B  0.0000  0.0000  0.0000 [8 per cell]  2 O 1.75
Br  0.0000  0.2500  0.3750 [4 per cell]  8 B 2.66, 4 O 2.83
O  0.0000  0.2500  0.8750 [4 per cell]  4 B 1.75

The calculation puts the magnetic moment at 0.00 Bohr magnetons per cell.

---

Run x
This record from Alexandria describes a relaxed B2BrO crystal. The functional is PBE-GGA.

Cell: 5.5996 5.5996 5.5996 Å, 90.00 90.00 90.00°
Last column: nearest neighbours and their distance in Å.
Space group Fm-3m (No. 225)
Unique sites:
B  0.2500  0.2500  0.2500 [8 per cell]  4 O 2.42, 4 Br 2.42
Br  0.0000  0.0000  0.0000 [4 per cell]  8 B 2.42
O  0.0000  0.0000  0.5000 [4 per cell]  8 B 2.42

The calculation puts the magnetic moment at 0.00 Bohr magnetons per cell.

---

The least stable of them is run x.

---

Run w
This record from Alexandria describes a relaxed BBr3O crystal. The functional is PBE-GGA.

Cell: 4.7553 4.7553 4.7553 Å, 90.00 90.00 90.00°
Last column: nearest neighbours and their distance in Å.
Space group Pm-3m (No. 221)
Unique sites:
B  0.0000  0.0000  0.0000 [1 per cell]  12 Br 3.36
Br  0.0000  0.5000  0.5000 [3 per cell]  2 O 2.38
O  0.5000  0.5000  0.5000 [1 per cell]  6 Br 2.38

The calculation puts the magnetic moment at 0.00 Bohr magnetons per cell.

---

Run x
This record from Alexandria describes a relaxed BBr3O crystal. The functional is PBE-GGA.

Cell: 4.5664 4.5664 4.5664 Å, 90.00 90.00 90.00°
Last column: nearest neighbours and their distance in Å.
Space group Pm-3m (No. 221)
Unique sites:
B  0.0000  0.0000  0.0000 [1 per cell]  6 Br 2.28
Br  0.0000  0.0000  0.5000 [3 per cell]  2 B 2.28
O  0.5000  0.5000  0.5000 [1 per cell]  12 Br 3.23

The calculation puts the magnetic moment at 0.00 Bohr magnetons per cell.

---

The least stable of them is run w.

---

Run w
This record from Alexandria describes a relaxed B3BrO crystal. The functional is PBE-GGA.

Cell: 4.1476 4.1476 4.1476 Å, 90.00 90.00 90.00°
Last column: nearest neighbours and their distance in Å.
Space group Pm-3m (No. 221)
Unique sites:
B  0.0000  0.0000  0.5000 [3 per cell]  2 Br 2.07
Br  0.0000  0.0000  0.0000 [1 per cell]  6 B 2.07
O  0.5000  0.5000  0.5000 [1 per cell]  12 B 2.93

The calculation puts the magnetic moment at 0.00 Bohr magnetons per cell.

---

Run x
This record from Alexandria describes a relaxed B3BrO crystal. The functional is PBE-GGA.

Cell: 3.9708 3.9708 3.9708 Å, 90.00 90.00 90.00°
Last column: nearest neighbours and their distance in Å.
Space group Pm-3m (No. 221)
Unique sites:
B  0.0000  0.0000  0.5000 [3 per cell]  2 O 1.99
Br  0.5000  0.5000  0.5000 [1 per cell]  12 B 2.81
O  0.0000  0.0000  0.0000 [1 per cell]  6 B 1.99

The calculation puts the magnetic moment at 0.00 Bohr magnetons per cell.

---

The least stable of them is run w.

---

Run w
This record from Alexandria describes a relaxed BP2BrO crystal. The functional is PBE-GGA.

Cell: 4.9381 4.9381 3.6728 Å, 90.00 90.00 90.00°
Last column: nearest neighbours and their distance in Å.
Space group P4/mmm (No. 123)
Unique sites:
B  0.0000  0.0000  0.0000 [1 per cell]  8 P 3.08
P  0.0000  0.5000  0.5000 [2 per cell]  2 Br 2.47
Br  0.5000  0.5000  0.5000 [1 per cell]  2 O 1.84
O  0.5000  0.5000  0.0000 [1 per cell]  2 Br 1.84

The calculation puts the magnetic moment at 0.00 Bohr magnetons per cell.

---

Run x
This record from Alexandria describes a relaxed BP2BrO crystal. The functional is PBE-GGA.

Cell: 5.8481 5.8481 2.5748 Å, 90.00 90.00 90.00°
Last column: nearest neighbours and their distance in Å.
Space group P4/mmm (No. 123)
Unique sites:
B  0.0000  0.0000  0.0000 [1 per cell]  2 O 1.29
P  0.0000  0.5000  0.0000 [2 per cell]  2 P 2.57
Br  0.5000  0.5000  0.5000 [1 per cell]  2 Br 2.57
O  0.0000  0.0000  0.5000 [1 per cell]  2 B 1.29

The calculation puts the magnetic moment at 0.00 Bohr magnetons per cell.

---

The least stable of them is run w.

---

Run w
This record from Alexandria describes a relaxed BOsBr2 crystal. The functional is PBE-GGA.

Cell: 6.4260 6.4260 6.4260 Å, 90.00 90.00 90.00°
Last column: nearest neighbours and their distance in Å.
Space group Fm-3m (No. 225)
Unique sites:
B  0.0000  0.0000  0.0000 [4 per cell]  8 Br 2.78
Os  0.0000  0.0000  0.5000 [4 per cell]  8 Br 2.78
Br  0.2500  0.2500  0.2500 [8 per cell]  4 B 2.78, 4 Os 2.78

The calculation puts the magnetic moment at 0.00 Bohr magnetons per cell.

---

Run x
This record from Alexandria describes a relaxed BOsBr2 crystal. The functional is PBE-GGA.

Cell: 9.3282 9.3282 4.0571 Å, 90.00 90.00 90.00°
Last column: nearest neighbours and their distance in Å.
Space group I-42d (No. 122)
Unique sites:
B  0.0000  0.0000  0.0000 [4 per cell]  2 Os 2.03
Os  0.0000  0.0000  0.5000 [4 per cell]  2 B 2.03
Br  0.1005  0.2500  0.6250 [8 per cell]  2 Os 2.56

The calculation puts the magnetic moment at 0.00 Bohr magnetons per cell.

---

Run y
This record from Alexandria describes a relaxed BOsBr2 crystal. The functional is PBE-GGA.

Cell: 3.2181 3.2181 23.2469 Å, 90.00 90.00 120.00°
Last column: nearest neighbours and their distance in Å.
Space group R-3m (No. 166, hexagonal axes)
Unique sites:
B  0.0000  0.0000  0.0000 [3 per cell]  6 Br 2.38
Os  0.0000  0.0000  0.5000 [3 per cell]  2 Br 2.39
Br  0.0000  0.0000  0.3973 [6 per cell]  3 B 2.38, 1 Os 2.39

The calculation puts the magnetic moment at 0.00 Bohr magnetons per cell.

---

The least stable of them is run w.